Below is CsSc2TlGe after structural relaxation, with properties calculated at the GGA-PBE level.

Unit cell a=5.301 b=5.301 c=6.368 alpha=90.00 beta=90.00 gamma=90.00
Element x y z (fractional)
Cs (0.000, 0.000, 0.000)
Sc (0.000, 0.500, 0.500)
Sc (0.500, 0.000, 0.500)
Tl (0.500, 0.500, 0.000)
Ge (0.500, 0.500, 0.500)

## Properties
Volume = 179 Å³ per cell
Raw total energy = -19.1 eV per formula unit